Material: LaMg2Mo
Method: DFT, PBE
State: optimized geometry

- Total energy: -17.1 eV per formula unit
- Calculated formation energy: 0.470 eV/atom
- ΔE to the lowest computed polymorph: 16.6 kJ/mol of atoms
- Magnetic moment: 1.13 μB/cell

abc: 5.411 5.411 5.411
angles: 129.25 129.25 74.61
Element x y z (fractional)
La 0.000 0.000 0.000
Mg 0.250 0.750 0.500
Mg 0.500 0.500 0.000
Mo 0.750 0.250 0.500

Material: CdH2SBr2
Method: DFT, PBE
State: optimized geometry

- Total energy: -18.0 eV per formula unit
- Magnetic moment: 0.00 μB/cell

abc: 7.087 7.087 6.706
angles: 90.00 90.00 73.20
Element x y z (fractional)
Cd 0.083 0.917 0.500
Cd 0.917 0.083 0.000
H 0.207 0.621 0.856
H 0.379 0.793 0.856
H 0.621 0.207 0.356
H 0.793 0.379 0.356
S 0.344 0.656 0.731
S 0.656 0.344 0.231
Br 0.051 0.270 0.699
Br 0.270 0.051 0.199
Br 0.730 0.949 0.699
Br 0.949 0.730 0.199

Material: ZrPIrO2
Method: DFT, PBE
State: optimized geometry

- Total energy: -35.1 eV per formula unit
- ΔE_f (raw): -44.9 kJ per mole of atoms
- ΔE to the lowest computed polymorph: 16.3 kJ/mol of atoms
- Magnetic moment: 0.22 μB/cell

abc: 3.895 3.895 4.814
angles: 90.00 90.00 90.00
Element x y z (fractional)
Zr 0.000 0.000 0.000
P 0.500 0.500 0.000
Ir 0.500 0.500 0.500
O 0.000 0.500 0.500
O 0.500 0.000 0.500

Material: BeRhBr2
Method: DFT, PBE
State: optimized geometry

- Total energy: -13.0 eV per formula unit
- ΔE_f (raw): 35.0 kJ per mole of atoms
- ΔE to the lowest computed polymorph: 74.0 kJ/mol of atoms
- Magnetic moment: 0.81 μB/cell

abc: 3.598 3.598 7.581
angles: 90.00 90.00 126.89
Element x y z (fractional)
Be 0.000 0.000 0.000
Rh 0.000 0.000 0.500
Br 0.500 0.500 0.214
Br 0.500 0.500 0.786

Material: TaHgSe2N
Method: DFT, PBE
State: optimized geometry

- Total energy: -22.9 eV per formula unit
- ΔE_f (raw): 87.2 kJ per mole of atoms
- ΔE to the lowest computed polymorph: 89.5 kJ/mol of atoms
- Magnetic moment: 2.94 μB/cell

abc: 4.980 4.980 5.639
angles: 90.00 90.00 90.00
Element x y z (fractional)
Ta 0.000 0.000 0.000
Hg 0.000 0.000 0.500
Se 0.000 0.500 0.000
Se 0.500 0.000 0.000
N 0.500 0.500 0.500

Material: LiThSc2Hg4
Method: DFT, PBE
State: optimized geometry

- Total energy: -25.8 eV per formula unit
- Calculated formation energy: -0.327 eV/atom
- Magnetic moment: 0.00 μB/cell

abc: 9.306 9.306 9.306
angles: 30.60 30.60 30.60
Element x y z (fractional)
Li 0.000 0.000 0.000
Th 0.500 0.500 0.500
Sc 0.258 0.258 0.258
Sc 0.742 0.742 0.742
Hg 0.111 0.111 0.111
Hg 0.370 0.370 0.370
Hg 0.630 0.630 0.630
Hg 0.889 0.889 0.889

Material: La3Tm12Al5
Method: DFT, PBE
State: optimized geometry

- Total energy: -74.1 eV per formula unit
- Calculated formation energy: 0.655 eV/atom
- Magnetic moment: 0.02 μB/cell

abc: 15.467 15.467 15.467
angles: 109.47 109.47 109.47
Element x y z (fractional)
La 0.125 0.250 0.375
La 0.125 0.375 0.750
La 0.250 0.375 0.125
La 0.250 0.875 0.625
La 0.375 0.125 0.250
La 0.375 0.750 0.125
La 0.625 0.250 0.875
La 0.625 0.875 0.750
La 0.750 0.125 0.375
La 0.750 0.625 0.875
La 0.875 0.625 0.250
La 0.875 0.750 0.625
Tm 0.034 0.209 0.106
Tm 0.034 0.325 0.928
Tm 0.072 0.606 0.397
Tm 0.072 0.966 0.675
Tm 0.103 0.709 0.675
Tm 0.103 0.894 0.428
Tm 0.106 0.034 0.209
Tm 0.106 0.572 0.897
Tm 0.175 0.209 0.603
Tm 0.175 0.466 0.572
Tm 0.209 0.106 0.034
Tm 0.209 0.603 0.175
Tm 0.291 0.325 0.897
Tm 0.291 0.466 0.394
Tm 0.325 0.897 0.291
Tm 0.325 0.928 0.034
Tm 0.394 0.291 0.466
Tm 0.394 0.603 0.928
Tm 0.397 0.072 0.606
Tm 0.397 0.825 0.791
Tm 0.428 0.103 0.894
Tm 0.428 0.825 0.534
Tm 0.466 0.394 0.291
Tm 0.466 0.572 0.175
Tm 0.534 0.428 0.825
Tm 0.534 0.606 0.709
Tm 0.572 0.175 0.466
Tm 0.572 0.897 0.106
Tm 0.603 0.175 0.209
Tm 0.603 0.928 0.394
Tm 0.606 0.397 0.072
Tm 0.606 0.709 0.534
Tm 0.675 0.072 0.966
Tm 0.675 0.103 0.709
Tm 0.709 0.534 0.606
Tm 0.709 0.675 0.103
Tm 0.791 0.397 0.825
Tm 0.791 0.894 0.966
Tm 0.825 0.534 0.428
Tm 0.825 0.791 0.397
Tm 0.894 0.428 0.103
Tm 0.894 0.966 0.791
Tm 0.897 0.106 0.572
Tm 0.897 0.291 0.325
Tm 0.928 0.034 0.325
Tm 0.928 0.394 0.603
Tm 0.966 0.675 0.072
Tm 0.966 0.791 0.894
Al 0.000 0.000 0.000
Al 0.000 0.000 0.500
Al 0.000 0.500 0.000
Al 0.000 0.500 0.500
Al 0.125 0.750 0.875
Al 0.125 0.875 0.250
Al 0.250 0.125 0.875
Al 0.250 0.625 0.375
Al 0.375 0.250 0.625
Al 0.375 0.625 0.750
Al 0.500 0.000 0.000
Al 0.500 0.000 0.500
Al 0.500 0.500 0.000
Al 0.500 0.500 0.500
Al 0.625 0.375 0.250
Al 0.625 0.750 0.375
Al 0.750 0.375 0.625
Al 0.750 0.875 0.125
Al 0.875 0.125 0.750
Al 0.875 0.250 0.125

Material: RbHgO3
Method: DFT, PBE
State: optimized geometry

- Total energy: -10.7 eV per formula unit
- ΔE_f (raw): 105.5 kJ per mole of atoms
- Magnetic moment: 0.00 μB/cell

abc: 4.290 4.290 4.290
angles: 90.00 90.00 90.00
Element x y z (fractional)
Rb 0.000 0.000 0.000
Hg 0.500 0.500 0.500
O 0.000 0.000 0.500
O 0.000 0.500 0.000
O 0.500 0.000 0.000

Material: InSnSeBr2
Method: DFT, PBE
State: optimized geometry

- Total energy: -14.5 eV per formula unit
- ΔE_f (raw): -18.0 kJ per mole of atoms
- ΔE to the lowest computed polymorph: 0.0 kJ/mol of atoms
- Magnetic moment: 0.64 μB/cell

abc: 5.998 5.998 6.408
angles: 90.00 90.00 90.00
Element x y z (fractional)
In 0.000 0.000 0.000
Sn 0.500 0.500 0.500
Se 0.500 0.500 0.000
Br 0.000 0.500 0.500
Br 0.500 0.000 0.500

Material: Bi2OsW
Method: DFT, PBE
State: optimized geometry

- Total energy: -26.4 eV per formula unit
- Calculated formation energy: 1.396 eV/atom
- ΔE to the lowest computed polymorph: 26.3 kJ/mol of atoms
- Magnetic moment: 0.00 μB/cell

abc: 9.861 9.861 9.861
angles: 154.27 154.27 36.71
Element x y z (fractional)
Bi 0.121 0.625 0.996
Bi 0.375 0.371 0.496
Bi 0.629 0.125 0.004
Bi 0.875 0.879 0.504
Os 0.000 0.000 0.000
Os 0.750 0.250 0.500
W 0.250 0.750 0.500
W 0.500 0.500 0.000

Material: YTlZn2
Method: DFT, PBE
State: optimized geometry

- Total energy: -11.9 eV per formula unit
- Calculated formation energy: -0.120 eV/atom
- ΔE to the lowest computed polymorph: 9.5 kJ/mol of atoms
- Magnetic moment: 0.46 μB/cell

abc: 3.456 3.456 7.283
angles: 90.00 90.00 90.00
Element x y z (fractional)
Y 0.000 0.000 0.000
Tl 0.500 0.500 0.688
Zn 0.000 0.000 0.432
Zn 0.500 0.500 0.267

Material: V2Ni7Pt2
Method: DFT, PBE
State: optimized geometry

- Total energy: -71.5 eV per formula unit
- Calculated formation energy: -0.063 eV/atom
- Magnetic moment: 0.00 μB/cell

abc: 4.438 4.993 6.478
angles: 100.31 103.78 90.29
Element x y z (fractional)
V 0.219 0.298 0.253
V 0.781 0.702 0.747
Ni 0.000 0.000 0.500
Ni 0.217 0.459 0.916
Ni 0.224 0.973 0.906
Ni 0.255 0.600 0.586
Ni 0.745 0.400 0.414
Ni 0.776 0.027 0.094
Ni 0.783 0.541 0.084
Pt 0.413 0.816 0.291
Pt 0.587 0.184 0.709

Material: InRh2Au
Method: DFT, PBE
State: optimized geometry

- Total energy: -19.7 eV per formula unit
- Calculated formation energy: 0.255 eV/atom
- Magnetic moment: 1.74 μB/cell

abc: 9.943 9.943 9.943
angles: 157.25 157.25 32.40
Element x y z (fractional)
In 0.000 0.000 0.000
In 0.750 0.250 0.500
Rh 0.145 0.625 0.020
Rh 0.375 0.395 0.520
Rh 0.605 0.125 0.980
Rh 0.875 0.855 0.480
Au 0.250 0.750 0.500
Au 0.500 0.500 0.000

Material: FeAsPb
Method: DFT, PBE
State: optimized geometry

- Total energy: -16.2 eV per formula unit
- Calculated formation energy: 0.199 eV/atom
- ΔE to the lowest computed polymorph: 16.9 kJ/mol of atoms
- Magnetic moment: 1.52 μB/cell

abc: 3.362 3.362 6.200
angles: 90.00 90.00 120.00
Element x y z (fractional)
Fe 0.000 0.000 0.000
As 0.333 0.667 0.785
Pb 0.667 0.333 0.343

Material: NaMnPt
Method: DFT, PBE
State: optimized geometry

- Total energy: -16.6 eV per formula unit
- Calculated formation energy: -0.030 eV/atom
- ΔE to the lowest computed polymorph: 5.0 kJ/mol of atoms
- Magnetic moment: 8.60 μB/cell

abc: 5.610 5.610 7.482
angles: 91.95 91.95 29.35
Element x y z (fractional)
Na 0.000 0.000 0.000
Na 0.247 0.247 0.741
Mn 0.350 0.350 0.355
Mn 0.619 0.619 0.387
Pt 0.741 0.741 0.105
Pt 0.978 0.978 0.588

Material: TbSiHRu2
Method: DFT, PBE
State: optimized geometry

- Total energy: -34.7 eV per formula unit
- Magnetic moment: 0.01 μB/cell

abc: 5.846 5.846 7.530
angles: 90.00 90.00 146.97
Element x y z (fractional)
Tb 0.042 0.958 0.750
Tb 0.958 0.042 0.250
Si 0.235 0.765 0.250
Si 0.765 0.235 0.750
H 0.500 0.500 0.000
H 0.500 0.500 0.500
Ru 0.346 0.654 0.548
Ru 0.346 0.654 0.952
Ru 0.654 0.346 0.048
Ru 0.654 0.346 0.452

Material: CaLuPbAu
Method: DFT, PBE
State: optimized geometry

- Total energy: -16.0 eV per formula unit
- Calculated formation energy: -0.629 eV/atom
- Magnetic moment: 0.00 μB/cell

abc: 5.245 5.245 5.245
angles: 60.00 60.00 60.00
Element x y z (fractional)
Ca 0.000 0.000 0.000
Lu 0.500 0.500 0.500
Pb 0.750 0.750 0.750
Au 0.250 0.250 0.250

Material: FeAsPb
Method: DFT, PBE
State: optimized geometry

- Total energy: -16.3 eV per formula unit
- Calculated formation energy: 0.175 eV/atom
- ΔE to the lowest computed polymorph: 14.5 kJ/mol of atoms
- Magnetic moment: 1.65 μB/cell

abc: 6.586 6.586 6.586
angles: 152.30 152.30 39.57
Element x y z (fractional)
Fe 0.000 0.000 0.000
As 0.417 0.417 0.000
Pb 0.671 0.671 0.000

Material: CaSbTe2Se
Method: DFT, PBE
State: optimized geometry

- Total energy: -13.3 eV per formula unit
- ΔE_f (raw): 50.2 kJ per mole of atoms
- ΔE to the lowest computed polymorph: 60.1 kJ/mol of atoms
- Magnetic moment: 1.49 μB/cell

abc: 5.705 5.705 5.965
angles: 90.00 90.00 90.00
Element x y z (fractional)
Ca 0.000 0.000 0.000
Sb 0.000 0.000 0.500
Te 0.000 0.500 0.000
Te 0.500 0.000 0.000
Se 0.500 0.500 0.500

Material: Mn2AgOs
Method: DFT, PBE
State: optimized geometry

- Total energy: -31.1 eV per formula unit
- Calculated formation energy: 0.333 eV/atom
- Magnetic moment: 1.42 μB/cell

abc: 9.036 9.036 9.036
angles: 17.24 17.24 17.24
Element x y z (fractional)
Mn 0.000 0.000 0.000
Mn 0.259 0.259 0.259
Ag 0.755 0.755 0.755
Os 0.517 0.517 0.517

Material: Tb2Ho3Hg6
Method: DFT, PBE
State: optimized geometry

- Total energy: -25.9 eV per formula unit
- Calculated formation energy: -0.102 eV/atom
- Magnetic moment: 0.01 μB/cell

abc: 13.753 13.753 13.753
angles: 158.76 158.76 30.22
Element x y z (fractional)
Tb 0.131 0.131 0.000
Tb 0.869 0.869 0.000
Ho 0.364 0.364 0.000
Ho 0.500 0.500 0.000
Ho 0.636 0.636 0.000
Hg 0.066 0.566 0.500
Hg 0.248 0.248 0.000
Hg 0.434 0.934 0.500
Hg 0.566 0.066 0.500
Hg 0.752 0.752 0.000
Hg 0.934 0.434 0.500

Material: Li2CrRe
Method: DFT, PBE
State: optimized geometry

- Total energy: -24.5 eV per formula unit
- Calculated formation energy: 0.361 eV/atom
- ΔE to the lowest computed polymorph: 10.8 kJ/mol of atoms
- Magnetic moment: 1.56 μB/cell

abc: 2.857 4.079 4.722
angles: 90.00 90.00 90.00
Element x y z (fractional)
Li 0.000 0.000 0.000
Li 0.500 0.500 0.000
Cr 0.000 0.500 0.500
Re 0.500 0.000 0.500